[1]
# SrErCo2Si2

A relaxed structure of SrErCo2Si2 (PBE, the Open Quantum Materials Database).

Computed properties:
As for the calculated volume: 114.2 Å³ per cell. The space group is No. 99. The value obtained for the size of the total moment is 0.008 μB/f.u. The calculation puts the raw total energy at -5.7765 eV per atom.

a b c (Å): 3.933 3.933 7.384
angles (deg): 90.00 90.00 90.00
Fractional positions:
Si (0.500, 0.500, 0.176)
Si (0.000, 0.000, 0.847)
Sr (0.500, 0.500, 0.661)
Er (0.000, 0.000, 0.293)
Co (0.000, 0.500, 0.012)
Co (0.500, 0.000, 0.012)

[2]
# TbErCo2Si4

A relaxed structure of TbErCo2Si4 (PBE, the Open Quantum Materials Database).

Computed properties:
As for the calculated volume: 128.1 Å³ per cell. The space group is No. 38. The value obtained for the size of the total moment is 0.012 μB/f.u. The calculation puts the raw total energy at -6.4199 eV per atom.

a b c (Å): 3.948 8.356 8.356
angles (deg): 27.69 90.00 90.00
Fractional positions:
Si (0.000, 0.250, 0.250)
Co (0.500, 0.321, 0.321)
Tb (0.500, 0.108, 0.108)
Si (0.500, 0.457, 0.457)
Si (0.500, 0.751, 0.751)
Co (0.000, 0.679, 0.679)
Si (0.000, 0.542, 0.542)
Er (0.000, 0.892, 0.892)

[3]
# ErCoSi2Tc

A relaxed structure of ErCoSi2Tc (PBE, the Open Quantum Materials Database).

Computed properties:
As for the calculated volume: 79.1 Å³ per cell. The space group is No. 119. The value obtained for the size of the total moment is 0.003 μB/f.u. The calculation puts the raw total energy at -7.2883 eV per atom.

a b c (Å): 5.598 5.598 5.598
angles (deg): 137.51 137.51 61.66
Fractional positions:
Er (0.750, 0.250, 0.500)
Si (0.122, 0.622, 0.500)
Co (0.000, 0.000, 0.000)
Si (0.378, 0.878, 0.500)
Tc (0.500, 0.500, 0.000)

[4]
# ErTmCoSi2

A relaxed structure of ErTmCoSi2 (PBE, the Open Quantum Materials Database).

Computed properties:
As for the calculated volume: 182.4 Å³ per cell. The space group is No. 12. The value obtained for the size of the total moment is 0.026 μB/f.u. The calculation puts the raw total energy at -6.1853 eV per atom.

a b c (Å): 5.525 5.525 9.882
angles (deg): 116.59 116.59 43.65
Fractional positions:
Si (0.648, 0.648, 0.065)
Tm (0.002, 0.002, 0.829)
Co (0.727, 0.727, 0.873)
Si (0.492, 0.492, 0.624)
Si (0.352, 0.352, 0.935)
Er (0.187, 0.187, 0.608)
Si (0.508, 0.508, 0.376)
Er (0.813, 0.813, 0.392)
Co (0.273, 0.273, 0.127)
Tm (0.998, 0.998, 0.171)

[5]
# ErTmCo2Si4

A relaxed structure of ErTmCo2Si4 (PBE, the Open Quantum Materials Database).

Computed properties:
As for the calculated volume: 126.9 Å³ per cell. The space group is No. 38. The value obtained for the size of the total moment is 0.001 μB/f.u. The calculation puts the raw total energy at -6.3929 eV per atom.

a b c (Å): 3.935 8.356 8.356
angles (deg): 27.51 90.00 90.00
Fractional positions:
Co (0.500, 0.322, 0.322)
Si (0.000, 0.250, 0.250)
Si (0.500, 0.458, 0.458)
Si (0.500, 0.750, 0.750)
Si (0.000, 0.542, 0.542)
Co (0.000, 0.678, 0.678)
Er (0.000, 0.892, 0.892)
Tm (0.500, 0.108, 0.108)

[6]
# ErTmCoSi2

A relaxed structure of ErTmCoSi2 (PBE, the Open Quantum Materials Database).

Computed properties:
As for the calculated volume: 182.3 Å³ per cell. The space group is No. 12. The value obtained for the size of the total moment is 0.021 μB/f.u. The calculation puts the raw total energy at -6.1818 eV per atom.

a b c (Å): 5.524 5.524 9.881
angles (deg): 116.65 116.65 43.68
Fractional positions:
Er (0.001, 0.001, 0.828)
Si (0.649, 0.649, 0.066)
Si (0.492, 0.492, 0.624)
Er (0.999, 0.999, 0.172)
Co (0.273, 0.273, 0.127)
Tm (0.813, 0.813, 0.392)
Co (0.727, 0.727, 0.873)
Si (0.351, 0.351, 0.934)
Si (0.508, 0.508, 0.376)
Tm (0.187, 0.187, 0.608)

[7]
# YErCo2Si4

A relaxed structure of YErCo2Si4 (PBE, the Open Quantum Materials Database).

Computed properties:
As for the calculated volume: 129.3 Å³ per cell. The space group is No. 38. The value obtained for the size of the total moment is 0.003 μB/f.u. The calculation puts the raw total energy at -6.6496 eV per atom.

a b c (Å): 3.958 8.402 8.402
angles (deg): 27.56 90.00 90.00
Fractional positions:
Si (0.000, 0.250, 0.250)
Si (0.500, 0.750, 0.750)
Co (0.000, 0.678, 0.678)
Y (0.500, 0.107, 0.107)
Co (0.500, 0.322, 0.322)
Si (0.500, 0.457, 0.457)
Er (0.000, 0.892, 0.892)
Si (0.000, 0.542, 0.542)

[8]
# YErCo2Si2

A relaxed structure of YErCo2Si2 (PBE, the Open Quantum Materials Database).

Computed properties:
As for the calculated volume: 104.6 Å³ per cell. The space group is No. 99. The value obtained for the size of the total moment is 0.330 μB/f.u. The calculation puts the raw total energy at -6.7679 eV per atom.

a b c (Å): 3.908 3.908 6.851
angles (deg): 90.00 90.00 90.00
Fractional positions:
Co (0.500, 0.000, 0.998)
Y (0.000, 0.000, 0.323)
Si (0.000, 0.000, 0.812)
Si (0.500, 0.500, 0.184)
Co (0.000, 0.500, 0.998)
Er (0.500, 0.500, 0.685)

[9]
# Sm3Y2ErCoTe2

A relaxed structure of Sm3Y2ErCoTe2 (PBE, the Open Quantum Materials Database).

Computed properties:
As for the calculated volume: 243.1 Å³ per cell. The space group is No. 38. The value obtained for the size of the total moment is 0.000 μB/f.u. The calculation puts the raw total energy at -5.7022 eV per atom.

a b c (Å): 3.985 8.381 8.381
angles (deg): 119.73 90.00 90.00
Fractional positions:
Sm (0.500, 0.594, 0.594)
Y (0.000, 0.999, 0.766)
Co (0.500, 0.007, 0.007)
Sm (0.500, 0.402, 0.001)
Er (0.000, 0.230, 0.230)
Sm (0.500, 0.001, 0.402)
Y (0.000, 0.766, 0.999)
Te (0.000, 0.667, 0.334)
Te (0.000, 0.334, 0.667)

[10]
# Sm3YEr2CoTe2

A relaxed structure of Sm3YEr2CoTe2 (PBE, the Open Quantum Materials Database).

Computed properties:
As for the calculated volume: 243.3 Å³ per cell. The space group is No. 38. The value obtained for the size of the total moment is 0.004 μB/f.u. The calculation puts the raw total energy at -5.4956 eV per atom.

a b c (Å): 3.985 8.414 8.414
angles (deg): 120.43 90.00 90.00
Fractional positions:
Te (0.500, 0.334, 0.667)
Co (0.000, 0.988, 0.988)
Te (0.500, 0.667, 0.334)
Sm (0.000, 0.403, 0.999)
Er (0.500, 0.003, 0.770)
Y (0.500, 0.235, 0.235)
Sm (0.000, 0.999, 0.403)
Sm (0.000, 0.603, 0.603)
Er (0.500, 0.770, 0.003)

[11]
# SmErTlCo2

A relaxed structure of SmErTlCo2 (PBE, the Open Quantum Materials Database).

Computed properties:
As for the calculated volume: 104.3 Å³ per cell. The space group is No. 38. The value obtained for the size of the total moment is 1.355 μB/f.u. The calculation puts the raw total energy at -5.4381 eV per atom.

a b c (Å): 3.872 7.297 7.297
angles (deg): 30.40 90.00 90.00
Fractional positions:
Sm (0.000, 0.638, 0.638)
Tl (0.500, 0.997, 0.997)
Co (0.500, 0.796, 0.796)
Er (0.000, 0.360, 0.360)
Co (0.500, 0.209, 0.209)

[12]
# ErCoSn2

A relaxed structure of ErCoSn2 (PBE, the Open Quantum Materials Database).

Computed properties:
As for the calculated volume: 175.9 Å³ per cell. The space group is No. 63. The value obtained for the size of the total moment is 0.007 μB/f.u. The calculation puts the raw total energy at -5.2679 eV per atom.

a b c (Å): 4.428 4.299 9.486
angles (deg): 76.90 90.00 90.00
Fractional positions:
Er (0.250, 0.885, 0.230)
Er (0.750, 0.115, 0.770)
Sn (0.250, 0.252, 0.496)
Sn (0.750, 0.453, 0.095)
Co (0.750, 0.322, 0.356)
Co (0.250, 0.678, 0.644)
Sn (0.250, 0.547, 0.905)
Sn (0.750, 0.748, 0.504)